Here is LaY3Ru after structural relaxation from Alexandria via LeMat-Bulk. Energies are from PBE-GGA.

The structure in POSCAR format:
```
LaY3Ru
1.0
2.576 -7.172 4.439
0.768 -8.573 -1.920
6.734 -5.655 -0.668
Y Ru La
6 2 2
direct
0.334 0.210 0.781
0.210 0.781 0.334
0.219 0.666 0.790
0.790 0.219 0.666
0.666 0.790 0.219
0.781 0.334 0.210
0.203 0.203 0.203
0.797 0.797 0.797
0.307 0.307 0.307
0.693 0.693 0.693
```

Calculated values
ρ ... 5.4 g/cm³
Spin magnetization ... 0.0 μB per formula unit
Relative energy among the computed polymorphs ... 167 meV/atom
D(E_F) ... 7.8 states/eV/f.u.
Formation enthalpy at 0 K ... -0.02 eV per atom

Here is Ho8ZnCo2 after structural relaxation from Alexandria via LeMat-Bulk. Energies are from PBE-GGA.

The structure in POSCAR format:
```
Ho8ZnCo2
1.0
4.942 0.000 0.000
0.000 6.713 0.149
-2.471 -2.698 8.159
Ho Zn Co
8 1 2
direct
0.404 0.529 0.808
0.676 0.980 0.352
0.800 0.674 0.600
0.961 0.220 0.922
0.200 0.326 0.400
0.324 0.020 0.648
0.596 0.471 0.192
0.039 0.780 0.078
0.500 0.000 0.000
0.813 0.289 0.626
0.187 0.711 0.374
```

Calculated values
ρ ... 9.2 g/cm³
Spin magnetization ... 0.0 μB per formula unit
Relative energy among the computed polymorphs ... 0 meV/atom
D(E_F) ... 12.6 states/eV/f.u.
Formation enthalpy at 0 K ... -0.13 eV per atom

Here is Nd3Ho8Th2 after structural relaxation from Alexandria via LeMat-Bulk. Energies are from PBE-GGA.

The structure in POSCAR format:
```
Nd3Ho8Th2
1.0
-10.266 -0.630 -10.002
3.753 -3.720 4.262
-13.530 4.265 6.948
Nd Ho Th
6 16 4
direct
0.549 0.545 0.357
0.500 0.000 0.500
0.051 0.553 0.854
0.949 0.447 0.146
0.000 0.000 0.000
0.451 0.455 0.643
0.625 0.613 0.113
0.869 0.908 0.451
0.080 0.054 0.772
0.718 0.735 0.891
0.578 0.040 0.272
0.872 0.380 0.385
0.214 0.731 0.391
0.695 0.166 0.828
0.305 0.834 0.172
0.786 0.269 0.609
0.920 0.946 0.228
0.422 0.960 0.728
0.282 0.265 0.109
0.128 0.620 0.615
0.131 0.092 0.549
0.375 0.387 0.887
0.636 0.106 0.051
0.804 0.839 0.675
0.196 0.161 0.325
0.364 0.894 0.949
```

Calculated values
ρ ... 8.7 g/cm³
Spin magnetization ... 0.0 μB per formula unit
D(E_F) ... 18.7 states/eV/f.u.
Formation enthalpy at 0 K ... 0.08 eV per atom